{
  "formula": "Al2RePt",
  "functional": "PBE",
  "state": "relaxed",
  "cell": [[8.805, 0.002, 0.001], [8.344, 2.811, 0.001], [8.344, 1.369, 2.455]],
  "species": ["Pt", "Al", "Al", "Re"],
  "frac_coords": [[0.502, 0.502, 0.502], [0.248, 0.248, 0.248], [0.001, 0.001, 0.001], [0.749, 0.749, 0.749]],
  "crystal_system": "trigonal",
  "final_energy_ev_per_atom": -6.722,
  "de_polymorph_mev_per_atom": 373
}

{
  "formula": "Na2PPdS4",
  "functional": "PBE",
  "state": "relaxed",
  "cell": [[6.427, 0.000, 0.000], [3.214, 6.088, 0.000], [3.214, 0.000, 9.713]],
  "species": ["S", "S", "S", "S", "S", "S", "S", "S", "Na", "Na", "Na", "Na", "P", "P", "Pd", "Pd"],
  "frac_coords": [[0.228, 0.215, 0.909], [0.887, 0.715, 0.591], [0.398, 0.715, 0.409], [0.557, 0.215, 0.091], [0.522, 0.285, 0.591], [0.193, 0.285, 0.409], [0.352, 0.785, 0.091], [0.863, 0.785, 0.909], [0.825, 0.000, 0.351], [0.175, 0.000, 0.649], [0.575, 0.500, 0.851], [0.925, 0.500, 0.149], [0.250, 0.500, 0.500], [0.500, 0.000, 0.000], [0.000, 0.000, 0.000], [0.750, 0.500, 0.500]],
  "crystal_system": "orthorhombic",
  "e_form_raw_ev_per_atom": -0.46,
  "final_energy_ev_per_atom": -4.175
}

{
  "formula": "NaCr2CuSi",
  "functional": "PBE",
  "state": "relaxed",
  "cell": [[4.808, 0.000, 0.000], [0.000, 4.422, 0.000], [0.000, 0.000, 4.808]],
  "species": ["Cr", "Cr", "Cu", "Si", "Na"],
  "frac_coords": [[0.500, 0.000, 0.000], [0.000, 0.000, 0.500], [0.000, 0.500, 0.000], [0.500, 0.500, 0.500], [0.000, 0.000, 0.000]],
  "crystal_system": "tetragonal",
  "e_form_raw_ev_per_atom": 1.74,
  "final_energy_ev_per_atom": -4.272
}

Quick rundown of total magnetic moment, same order as above: 0.00, 0.00, 8.45 μB/f.u.
Quick rundown of DOS(E_F), same order as above: 0.712, 0.465, 0.497 states/eV/atom